An optimized crystal structure of AcZnCd3. Source: Alexandria, functional GGA-PBE.

Cell lengths 6.605, 6.605, 6.635 Å; angles 90.00, 90.00, 117.67 degrees
Element x y z (fractional)
Ac  0.236  0.764  0.750
Ac  0.764  0.236  0.250
Zn  0.355  0.645  0.250
Zn  0.645  0.355  0.750
Cd  0.123  0.877  0.250
Cd  0.282  0.282  0.000
Cd  0.282  0.282  0.500
Cd  0.718  0.718  0.000
Cd  0.718  0.718  0.500
Cd  0.877  0.123  0.750

Calculated values
DFT total energy in eV per atom: -1.896
Space group: Cmcm (63)
Calculated formation energy in meV/atom: -270